1.
VASP calculation (PBE) on IrXe2F9 after structural relaxation.

Computed properties:
Electronic total energy = -3.0287 eV/atom

Geometry as CIF:
```
data_IrXe2F9
_cell_length_a 13.585
_cell_length_b 7.682
_cell_length_c 9.259
_cell_angle_alpha 90.00
_cell_angle_beta 130.70
_cell_angle_gamma 90.00
_space_group_name_H-M_alt 'C 1 c 1'
_space_group_IT_number 9
_space_group_name_Hall 'C -2yc'
loop_
_atom_site_label
_atom_site_type_symbol
_atom_site_fract_x
_atom_site_fract_y
_atom_site_fract_z
Ir1 Ir 0.000 0.122 0.000
Xe1 Xe 0.193 0.415 0.536
Xe2 Xe 0.330 0.070 0.977
F1 F 0.032 0.365 0.055
F2 F 0.064 0.093 0.252
F3 F 0.151 0.391 0.857
F4 F 0.172 0.111 0.090
F5 F 0.215 0.198 0.702
F6 F 0.327 0.349 0.404
F7 F 0.414 0.071 0.717
F8 F 0.434 0.343 0.248
F9 F 0.465 0.378 0.948
```

2.
VASP calculation (PBE) on YHoAl3Ge2 after structural relaxation.

Computed properties:
Electronic total energy = -5.0425 eV/atom

Geometry as CIF:
```
data_YHoAl3Ge2
_cell_length_a 10.264
_cell_length_b 4.073
_cell_length_c 6.751
_cell_angle_alpha 90.00
_cell_angle_beta 100.00
_cell_angle_gamma 90.00
_space_group_name_H-M_alt 'C 1 m 1'
_space_group_IT_number 8
_space_group_name_Hall 'C -2y'
loop_
_atom_site_label
_atom_site_type_symbol
_atom_site_fract_x
_atom_site_fract_y
_atom_site_fract_z
Y1 Y 0.000 0.000 0.000
Ho1 Ho 0.267 0.500 0.368
Al1 Al 0.081 0.000 0.560
Al2 Al 0.186 0.500 0.807
Al3 Al 0.383 0.000 0.683
Ge1 Ge 0.284 0.000 0.043
Ge2 Ge 0.484 0.000 0.326
```

3.
VASP calculation (PBE) on RbHo2CuTeSe3 after structural relaxation.

Computed properties:
Electronic total energy = -4.8256 eV/atom

Geometry as CIF:
```
data_RbHo2CuTeSe3
_cell_length_a 4.195
_cell_length_b 14.484
_cell_length_c 14.693
_cell_angle_alpha 90.00
_cell_angle_beta 90.00
_cell_angle_gamma 90.00
_space_group_name_H-M_alt 'C m c m'
_space_group_IT_number 63
_space_group_name_Hall '-C 2c 2'
loop_
_atom_site_label
_atom_site_type_symbol
_atom_site_fract_x
_atom_site_fract_y
_atom_site_fract_z
Rb1 Rb 0.000 0.128 0.250
Ho1 Ho 0.000 0.367 0.057
Cu1 Cu 0.000 0.164 0.750
Te1 Te 0.000 0.440 0.250
Se1 Se 0.000 0.000 0.000
Se2 Se 0.000 0.257 0.607
```

Which of these has the highest electronic total energy? IrXe2F9

What is the electronic total energy in the third record? -4.8256 eV/atom

Which of these has the lowest electronic total energy? YHoAl3Ge2

Which value of electronic total energy does entry 3 give? -4.8256 eV/atom